Material: Li2Hf2Se
Method: DFT, GGA-PBE
State: optimized geometry

Computed properties:
The magnetic moment comes out at 0.00 μB/cell. The calculation puts the formation energy from raw total energies at -0.058 eV/atom.

Structure (CIF):
```
data_Li2Hf2Se
_space_group_name_H-M_alt 'P 4/m b m'
_space_group_IT_number 127
_space_group_name_Hall '-P 4 2ab'
_cell_length_a 6.0393
_cell_length_b 6.0393
_cell_length_c 4.9765
_cell_angle_alpha 90.00
_cell_angle_beta 90.00
_cell_angle_gamma 90.00
loop_
_atom_site_label
_atom_site_type_symbol
_atom_site_fract_x
_atom_site_fract_y
_atom_site_fract_z
_atom_site_occupancy
Li1 Li 0.1348 0.3652 0.0000 1
Hf1 Hf 0.1718 0.6718 0.5000 1
Se1 Se 0.0000 0.0000 0.0000 1
```